Material: Er3As2S
Method: DFT, GGA-PBE
State: optimized geometry

```
data_Er3As2S
_symmetry_space_group_name_H-M 'P -3 m 1'
_symmetry_Int_Tables_number 164
_symmetry_space_group_name_Hall '-P 3 2"'
_cell_length_a 4.0246
_cell_length_b 4.0246
_cell_length_c 9.7897
_cell_angle_alpha 90.00
_cell_angle_beta 90.00
_cell_angle_gamma 120.00
loop_
_atom_site_label
_atom_site_type_symbol
_atom_site_fract_x
_atom_site_fract_y
_atom_site_fract_z
Er1 Er 0.0000 0.0000 0.0000
Er2 Er 0.3333 0.6667 0.6656
As1 As 0.3333 0.6667 0.1711
S1 S 0.0000 0.0000 0.5000
```

Output
**Final energy**: -6.212 eV per atom